Version P
# Pm2MnP (GGA-PBE, optimized geometry)
# spin magnetization: 10.5 μB per cell
data_Pm2MnP
_space_group_name_H-M_alt 'F m -3 m'
_space_group_IT_number 225
_space_group_name_Hall '-F 4 2 3'
_cell_length_a 7.142
_cell_length_b 7.142
_cell_length_c 7.142
_cell_angle_alpha 90.00
_cell_angle_beta 90.00
_cell_angle_gamma 90.00
loop_
_atom_site_label
_atom_site_fract_x
_atom_site_fract_y
_atom_site_fract_z
Pm1 0.250 0.250 0.250
Mn1 0.000 0.000 0.000
P1 0.000 0.000 0.500

Version Q
# Pm2MnP (GGA-PBE, optimized geometry)
# spin magnetization: 2.7 μB per cell
data_Pm2MnP
_space_group_name_H-M_alt 'P 4/m m m'
_space_group_IT_number 123
_space_group_name_Hall '-P 4 2'
_cell_length_a 4.946
_cell_length_b 4.946
_cell_length_c 3.693
_cell_angle_alpha 90.00
_cell_angle_beta 90.00
_cell_angle_gamma 90.00
loop_
_atom_site_label
_atom_site_fract_x
_atom_site_fract_y
_atom_site_fract_z
Pm1 0.000 0.500 0.000
Mn1 0.000 0.000 0.500
P1 0.500 0.500 0.500

Energy relative to the most stable one, in meV per atom: version P 131; version Q 0